# DySb2Rh5 PBE-GGA relaxed
data_DySb2Rh5
_cell_length_a 3.864
_cell_length_b 6.682
_cell_length_c 6.682
_cell_angle_alpha 65.41
_cell_angle_beta 73.19
_cell_angle_gamma 73.19
_symmetry_space_group_name_H-M 'P 1'
_symmetry_Int_Tables_number 1
loop_
_symmetry_equiv_pos_as_xyz
'x,y,z'
loop_
_atom_site_label
_atom_site_fract_x
_atom_site_fract_y
_atom_site_fract_z
Rh1 0.000 0.500 0.500
Rh2 0.632 0.169 0.567
Rh3 0.368 0.433 0.831
Sb1 0.246 0.254 0.254
Rh4 0.368 0.831 0.433
Sb2 0.754 0.746 0.746
Rh5 0.632 0.567 0.169
Dy1 0.000 0.000 0.000
# VASP energy (eV/cell): -53.33
# Space group: Immm, No. 71
# Energy relative to the elements, uncorrected (eV per atom): -0.4658
# Mass density (g/cm3): 10.38



# Dy3Sb4Rh8 PBE-GGA relaxed
data_Dy3Sb4Rh8
_cell_length_a 9.191
_cell_length_b 9.191
_cell_length_c 9.191
_cell_angle_alpha 60.00
_cell_angle_beta 60.00
_cell_angle_gamma 60.00
_symmetry_space_group_name_H-M 'P 1'
_symmetry_Int_Tables_number 1
loop_
_symmetry_equiv_pos_as_xyz
'x,y,z'
loop_
_atom_site_label
_atom_site_fract_x
_atom_site_fract_y
_atom_site_fract_z
Rh1 0.120 0.120 0.639
Rh2 0.639 0.120 0.120
Dy1 0.728 0.272 0.728
Sb1 0.000 0.500 0.000
Rh3 0.880 0.880 0.361
Dy2 0.728 0.728 0.272
Dy3 0.272 0.272 0.728
Rh4 0.880 0.361 0.880
Sb2 0.500 0.000 0.000
Rh5 0.335 0.335 0.335
Rh6 0.665 0.005 0.665
Dy4 0.728 0.272 0.272
Rh7 0.005 0.665 0.665
Sb3 0.500 0.500 0.000
Rh8 0.665 0.665 0.665
Rh9 0.995 0.335 0.335
Rh10 0.120 0.120 0.120
Dy5 0.272 0.728 0.728
Dy6 0.272 0.728 0.272
Sb4 0.000 0.000 0.500
Sb5 0.000 0.500 0.500
Sb6 0.000 0.000 0.000
Rh11 0.361 0.880 0.880
Sb7 0.500 0.000 0.500
Rh12 0.335 0.995 0.335
Rh13 0.665 0.665 0.005
Rh14 0.880 0.880 0.880
Rh15 0.120 0.639 0.120
Sb8 0.500 0.500 0.500
Rh16 0.335 0.335 0.995
# VASP energy (eV/cell): -200.43
# Space group: Fm-3m, No. 225
# Energy relative to the elements, uncorrected (eV per atom): -0.7406
# Mass density (g/cm3): 10.87



# Dy7Sb2Rh2 PBE-GGA relaxed
data_Dy7Sb2Rh2
_cell_length_a 6.817
_cell_length_b 7.059
_cell_length_c 6.817
_cell_angle_alpha 90.00
_cell_angle_beta 101.66
_cell_angle_gamma 90.00
_symmetry_space_group_name_H-M 'P 1'
_symmetry_Int_Tables_number 1
loop_
_symmetry_equiv_pos_as_xyz
'x,y,z'
loop_
_atom_site_label
_atom_site_fract_x
_atom_site_fract_y
_atom_site_fract_z
Dy1 0.000 0.000 0.000
Rh1 0.722 0.000 0.278
Sb1 0.796 0.500 0.796
Dy2 0.500 0.236 0.500
Dy3 0.500 0.246 0.000
Dy4 0.000 0.754 0.500
Dy5 0.500 0.754 0.000
Dy6 0.500 0.764 0.500
Rh2 0.278 0.000 0.722
Dy7 0.000 0.246 0.500
Sb2 0.204 0.500 0.204
# VASP energy (eV/cell): -61.61
# Space group: Cmmm, No. 65
# Energy relative to the elements, uncorrected (eV per atom): -0.5864
# Mass density (g/cm3): 8.20



# Dy2Sb3Rh5 PBE-GGA relaxed
data_Dy2Sb3Rh5
_cell_length_a 4.360
_cell_length_b 6.983
_cell_length_c 12.897
_cell_angle_alpha 90.00
_cell_angle_beta 99.73
_cell_angle_gamma 90.00
_symmetry_space_group_name_H-M 'P 1'
_symmetry_Int_Tables_number 1
loop_
_symmetry_equiv_pos_as_xyz
'x,y,z'
loop_
_atom_site_label
_atom_site_fract_x
_atom_site_fract_y
_atom_site_fract_z
Dy1 0.181 0.715 0.361
Rh1 0.295 0.883 0.591
Rh2 0.053 0.627 0.105
Dy2 0.488 0.784 0.975
Sb1 0.948 0.506 0.897
Rh3 0.604 0.914 0.208
Rh4 0.705 0.383 0.409
Rh5 0.279 0.459 0.558
Dy3 0.819 0.215 0.639
Rh6 0.721 0.959 0.442
Sb2 0.217 0.161 0.435
Sb3 0.783 0.661 0.565
Rh7 0.121 0.288 0.242
Dy4 0.512 0.284 0.025
Sb4 0.610 0.526 0.219
Sb5 0.390 0.026 0.781
Rh8 0.396 0.414 0.792
Rh9 0.879 0.788 0.758
Sb6 0.052 0.006 0.103
Rh10 0.947 0.127 0.895
# VASP energy (eV/cell): -130.45
# Space group: Cmc2_1, No. 36
# Energy relative to the elements, uncorrected (eV per atom): -0.6899
# Mass density (g/cm3): 10.34



# Dy5Sb2Rh PBE-GGA relaxed
data_Dy5Sb2Rh
_cell_length_a 5.807
_cell_length_b 5.508
_cell_length_c 15.980
_cell_angle_alpha 90.00
_cell_angle_beta 90.00
_cell_angle_gamma 121.81
_symmetry_space_group_name_H-M 'P 1'
_symmetry_Int_Tables_number 1
loop_
_symmetry_equiv_pos_as_xyz
'x,y,z'
loop_
_atom_site_label
_atom_site_fract_x
_atom_site_fract_y
_atom_site_fract_z
Dy1 0.094 0.188 0.132
Dy2 0.253 0.506 0.750
Dy3 0.906 0.812 0.632
Sb1 0.776 0.552 0.059
Dy4 0.432 0.863 0.403
Dy5 0.906 0.812 0.868
Rh1 0.669 0.337 0.750
Dy6 0.094 0.188 0.368
Sb2 0.224 0.448 0.559
Dy7 0.747 0.494 0.250
Dy8 0.432 0.863 0.097
Dy9 0.568 0.137 0.597
Rh2 0.331 0.663 0.250
Sb3 0.224 0.448 0.941
Sb4 0.776 0.552 0.441
Dy10 0.568 0.137 0.903
# VASP energy (eV/cell): -85.86
# Space group: Cmcm, No. 63
# Energy relative to the elements, uncorrected (eV per atom): -0.5407
# Mass density (g/cm3): 8.86



# DySbRh4 PBE-GGA relaxed
data_DySbRh4
_cell_length_a 5.304
_cell_length_b 5.304
_cell_length_c 5.304
_cell_angle_alpha 60.00
_cell_angle_beta 60.00
_cell_angle_gamma 60.00
_symmetry_space_group_name_H-M 'P 1'
_symmetry_Int_Tables_number 1
loop_
_symmetry_equiv_pos_as_xyz
'x,y,z'
loop_
_atom_site_label
_atom_site_fract_x
_atom_site_fract_y
_atom_site_fract_z
Rh1 0.626 0.626 0.123
Rh2 0.626 0.626 0.626
Dy1 0.250 0.250 0.250
Sb1 0.000 0.000 0.000
Rh3 0.626 0.123 0.626
Rh4 0.123 0.626 0.626
# ΔE to the lowest computed polymorph (meV/atom): 0
# VASP energy (eV/cell): -40.64
# Space group: F-43m, No. 216
# Energy relative to the elements, uncorrected (eV per atom): -0.4179
# Mass density (g/cm3): 10.95



# Dy4Sb6Rh7 PBE-GGA relaxed
data_Dy4Sb6Rh7
_cell_length_a 7.605
_cell_length_b 7.605
_cell_length_c 7.605
_cell_angle_alpha 109.47
_cell_angle_beta 109.47
_cell_angle_gamma 109.47
_symmetry_space_group_name_H-M 'P 1'
_symmetry_Int_Tables_number 1
loop_
_symmetry_equiv_pos_as_xyz
'x,y,z'
loop_
_atom_site_label
_atom_site_fract_x
_atom_site_fract_y
_atom_site_fract_z
Sb1 0.683 0.683 0.000
Dy1 0.000 0.500 0.000
Sb2 0.000 0.683 0.683
Rh1 0.000 0.000 0.000
Dy2 0.000 0.000 0.500
Dy3 0.500 0.000 0.000
Sb3 0.683 0.000 0.683
Sb4 0.317 0.317 0.000
Rh2 0.250 0.500 0.750
Rh3 0.750 0.250 0.500
Rh4 0.500 0.750 0.250
Sb5 0.317 0.000 0.317
Rh5 0.500 0.250 0.750
Rh6 0.250 0.750 0.500
Dy4 0.500 0.500 0.500
Sb6 0.000 0.317 0.317
Rh7 0.750 0.500 0.250
# VASP energy (eV/cell): -109.77
# Space group: Im-3m, No. 229
# Energy relative to the elements, uncorrected (eV per atom): -0.8920
# Mass density (g/cm3): 10.30



# Dy2SbRh PBE-GGA relaxed
data_Dy2SbRh
_cell_length_a 3.537
_cell_length_b 3.537
_cell_length_c 7.534
_cell_angle_alpha 90.00
_cell_angle_beta 90.00
_cell_angle_gamma 90.00
_symmetry_space_group_name_H-M 'P 1'
_symmetry_Int_Tables_number 1
loop_
_symmetry_equiv_pos_as_xyz
'x,y,z'
loop_
_atom_site_label
_atom_site_fract_x
_atom_site_fract_y
_atom_site_fract_z
Rh1 0.500 0.500 0.000
Sb1 0.500 0.500 0.500
Dy1 0.000 0.000 0.220
Dy2 0.000 0.000 0.780
# ΔE to the lowest computed polymorph (meV/atom): 141
# VASP energy (eV/cell): -23.96
# Space group: P4/mmm, No. 123
# Energy relative to the elements, uncorrected (eV per atom): -0.8194
# Mass density (g/cm3): 9.68